This record from Alexandria via LeMat-Bulk describes a relaxed HoScCu2 crystal. The functional is PBE.

a = 3.3516 Å, b = 3.3516 Å, c = 6.7134 Å
α = 90.00°, β = 90.00°, γ = 90.00°
Closest atoms and distances in Å follow each position.
Positions (direct):
1 Sc 0.5000 0.5000 0.0000  8 Cu 2.81
2 Ho 0.5000 0.5000 0.5000  8 Cu 3.01, 4 Ho 3.35, 2 Sc 3.36
3 Cu 0.0000 0.0000 0.7764  4 Sc 2.81, 1 Cu 3.00, 4 Ho 3.01
4 Cu 0.0000 0.0000 0.2236  4 Sc 2.81, 1 Cu 3.00, 4 Ho 3.01

Results
Energy above the most stable polymorph in this dataset: 0.0 meV/atom
Raw total energy: -20.148 eV/cell